Density functional theory data (PBE) for a relaxed structure of ScCdOs2.

a = 4.0197 Å, b = 4.0197 Å, c = 4.1164 Å
α = 90.00°, β = 90.00°, γ = 90.00°
Sites, in units of the cell vectors:
1 Sc 0.0000 0.0000 0.0000
2 Cd 0.5000 0.5000 0.0000
3 Os 0.0000 0.5000 0.5000
4 Os 0.5000 0.0000 0.5000

Results
* volume: 66.5 Å³ per cell

=====

Density functional theory data (PBE) for a relaxed structure of ScCdOs2.

a = 5.0823 Å, b = 5.0823 Å, c = 5.0823 Å
α = 133.68°, β = 133.68°, γ = 67.58°
Sites, in units of the cell vectors:
1 Sc 0.0000 0.0000 0.0000
2 Cd 0.5000 0.5000 0.0000
3 Os 0.2500 0.7500 0.5000
4 Os 0.7500 0.2500 0.5000

Results
* volume: 67.5 Å³ per cell

=====

Density functional theory data (PBE) for a relaxed structure of ScCdOs2.

a = 2.9244 Å, b = 3.9429 Å, c = 5.9041 Å
α = 90.00°, β = 90.00°, γ = 90.00°
Sites, in units of the cell vectors:
1 Sc 0.0000 0.0000 0.0000
2 Cd 0.5000 0.5000 0.2806
3 Os 0.0000 0.0000 0.5599
4 Os 0.5000 0.5000 0.7526

Results
* volume: 68.1 Å³ per cell

=====

Results for total magnetic moment: 0.43, 0.00, 0.00 (in μB per formula unit, following the order of the records).
Results for DOS at the Fermi energy: 5.4, 5.6, 2.6 (in states/eV/f.u., following the order of the records).
Results for energy of formation: 0.92, 1.24, 0.42 (in eV/f.u., following the order of the records).